This record from Alexandria describes a relaxed FeRePt2 crystal. The functional is PBE.

Values from the calculation:
**Polymorph energy (0 for the lowest one)**: 44 kJ/mol of formula units
**DFT formation energy**: -0.019 eV per atom
**Calculated total energy**: -0.60760 Ry per atom
**Crystal system**: monoclinic
**D(E_F)**: 4.3 states/eV per cell

a b c (Å): 4.7414 4.7414 4.7380
angles (deg): 80.75 80.75 33.57
With the nearest neighbours (Å) after each atom.
Sites, in units of the cell vectors:
Re 0.7500 0.7500 0.7500  6 Pt 2.73-2.74, 4 Fe 2.74, 2 Re 2.74
Pt 0.9999 0.9999 0.0000  3 Re 2.73-2.74, 3 Fe 2.73-2.74, 6 Pt 2.74
Pt 0.5001 0.5001 0.5000  3 Re 2.73-2.74, 3 Fe 2.73-2.74, 6 Pt 2.74
Fe 0.2500 0.2500 0.2500  6 Pt 2.73-2.74, 4 Re 2.74, 2 Fe 2.74